# MoPtNF2 | Alexandria | GGA+U | optimized geometry
# * excess energy over the best structure of this formula in the dataset: 0.000 eV per atom
# * DOS at the Fermi energy: 0.660 states/eV per atom
# * uncorrected energy: -26.2 eV/cell
data_MoPtNF2
_chemical_formula_sum 'Mo1 Pt1 N1 F2'
_space_group_name_H-M_alt 'P 4/m m m'
_space_group_IT_number 123
_space_group_name_Hall '-P 4 2'
_cell_length_a 4.140
_cell_length_b 4.140
_cell_length_c 4.093
_cell_angle_alpha 90.00
_cell_angle_beta 90.00
_cell_angle_gamma 90.00
loop_
_atom_site_label
_atom_site_type_symbol
_atom_site_fract_x
_atom_site_fract_y
_atom_site_fract_z
Mo1 Mo 0.000 0.000 0.000
Pt1 Pt 0.500 0.500 0.500
N1 N 0.000 0.000 0.500
F1 F 0.000 0.500 0.000